Computed, not measured: a geometry-optimized TaSb3S structure at the GGA-PBEsol level of DFT.

Calculated values
E_form (uncorrected) ... 992 meV per atom
DOS at the Fermi energy ... 5.6 states/eV per cell
E above lowest polymorph ... 0.432 eV per atom
VASP energy ... -5.13 eV/atom

a b c (Å): 4.9721 4.9721 4.9721
angles (deg): 90.00 90.00 90.00
Last column: nearest neighbours and their distance in Å.
Space group Pm-3m (No. 221)
Asymmetric unit:
Ta  0.0000  0.0000  0.0000 [1 per cell]  12 Sb 3.52
Sb  0.0000  0.5000  0.5000 [3 per cell]  2 S 2.49
S  0.5000  0.5000  0.5000 [1 per cell]  6 Sb 2.49